The following is a PBE-GGA calculation of Nb2H5 after structural relaxation, from the Open Quantum Materials Database.

Offset from the most stable computed form   0.070 eV per atom
Magnetic moment   0.000 μB/atom
E   -75.08 eV for the cell shown
Calculated volume   6.9 Å³/atom

Unit cell a=3.2615 b=3.2615 c=10.4216 alpha=90.00 beta=90.00 gamma=120.00
With the nearest neighbours (Å) after each atom.
Space group P6_3mc (No. 186)
Inequivalent atoms, fractional coordinates:
Nb1 0.0000 0.0000 0.0000 x2  10 H 1.92-2.14
Nb2 0.3333 0.6667 0.2567 x2  7 H 1.89-1.97
H1 0.0000 0.0000 0.3128 x2  4 Nb 1.95-1.97, 3 H 2.10
H2 0.3333 0.6667 0.0758 x2  1 H 1.81, 1 Nb 1.89
H3 0.3333 0.6667 0.4644 x2  3 Nb 1.92, 3 H 1.99
H4 0.3333 0.6667 0.7001 x2  3 Nb 1.97, 1 H 2.11
H5 0.3333 0.6667 0.9022 x2  4 H 1.81-1.99